A geometry-optimized La2TmHg structure, computed with PBE-GGA.

Output
As for the energy above the most stable polymorph in this dataset: 315 meV per atom. The density of states at the Fermi level is 15.11 states/eV/cell.

Lattice parameters (Å, degrees): 3.5659 3.5659 37.3753 90.00 90.00 120.00
Space group R-3m (No. 166, hexagonal axes)
Inequivalent atoms, fractional coordinates:
La (0.0000, 0.0000, 0.0896)
Tm (0.0000, 0.0000, 0.5000)
Hg (0.0000, 0.0000, 0.0000)

=====

A geometry-optimized LaTm2Hg3 structure, computed with PBE-GGA.

Output
The density of states at the Fermi level is 4.86 states/eV/cell.

Lattice parameters (Å, degrees): 3.7125 3.7125 11.4839 90.00 90.00 90.00
Space group P4/mmm (No. 123)
Inequivalent atoms, fractional coordinates:
La (0.0000, 0.0000, 0.0000)
Tm (0.0000, 0.0000, 0.3411)
Hg (0.5000, 0.5000, 0.1895)
Hg (0.5000, 0.5000, 0.5000)

=====

A geometry-optimized LaTm3Hg4 structure, computed with PBE-GGA.

Output
The density of states at the Fermi level is 6.25 states/eV/cell.

Lattice parameters (Å, degrees): 5.2300 5.2300 7.6387 90.00 90.00 90.00
Space group P4/mmm (No. 123)
Inequivalent atoms, fractional coordinates:
La (0.0000, 0.0000, 0.0000)
Tm (0.0000, 0.0000, 0.5000)
Tm (0.5000, 0.5000, 0.0000)
Tm (0.5000, 0.5000, 0.5000)
Hg (0.0000, 0.5000, 0.2671)

=====

A geometry-optimized La4TmHg3 structure, computed with PBE-GGA.

Output
The density of states at the Fermi level is 11.20 states/eV/cell.

Lattice parameters (Å, degrees): 3.8153 5.6201 11.4370 90.00 90.00 90.00
Space group Pmmm (No. 47)
Inequivalent atoms, fractional coordinates:
La (0.0000, 0.0000, 0.0000)
La (0.0000, 0.0000, 0.5000)
La (0.0000, 0.5000, 0.2383)
Tm (0.5000, 0.5000, 0.5000)
Hg (0.5000, 0.0000, 0.2611)
Hg (0.5000, 0.5000, 0.0000)

=====

A geometry-optimized La4TmHg structure, computed with PBE-GGA.

Output
As for the energy above the most stable polymorph in this dataset: 0 meV per atom. The density of states at the Fermi level is 8.59 states/eV/cell.

Lattice parameters (Å, degrees): 3.7627 3.7627 14.1318 90.00 90.00 90.00
Space group P4/mmm (No. 123)
Inequivalent atoms, fractional coordinates:
La (0.0000, 0.0000, 0.1473)
La (0.5000, 0.5000, 0.3284)
Tm (0.0000, 0.0000, 0.5000)
Hg (0.5000, 0.5000, 0.0000)

=====

A geometry-optimized La9Tm4Hg11 structure, computed with PBE-GGA.

Output
The density of states at the Fermi level is 44.91 states/eV/cell.

Lattice parameters (Å, degrees): 16.0296 23.7774 3.5795 90.00 90.00 90.00
Space group Cmmm (No. 65)
Inequivalent atoms, fractional coordinates:
La (0.0000, 0.0000, 0.0000)
La (0.1093, 0.2458, 0.0000)
La (0.1315, 0.4212, 0.0000)
Tm (0.1488, 0.0980, 0.0000)
Hg (0.0000, 0.1364, 0.5000)
Hg (0.0000, 0.3409, 0.5000)
Hg (0.0000, 0.5000, 0.5000)
Hg (0.2106, 0.0000, 0.5000)
Hg (0.2414, 0.3228, 0.5000)

=====

A geometry-optimized LaTmHg structure, computed with PBE-GGA.

Output
As for the energy above the most stable polymorph in this dataset: 0 meV per atom. The density of states at the Fermi level is 13.58 states/eV/cell.

Lattice parameters (Å, degrees): 8.4432 4.9163 8.7251 90.00 90.00 90.00
Space group Pnma (No. 62)
Inequivalent atoms, fractional coordinates:
La (0.0288, 0.2500, 0.1596)
Tm (0.1401, 0.2500, 0.5730)
Hg (0.2159, 0.7500, 0.3829)

=====

A geometry-optimized La2TmHg structure, computed with PBE-GGA.

Output
As for the energy above the most stable polymorph in this dataset: 125 meV per atom. The density of states at the Fermi level is 22.81 states/eV/cell.

Lattice parameters (Å, degrees): 7.9195 7.9195 7.9195 90.00 90.00 90.00
Space group Fm-3m (No. 225)
Inequivalent atoms, fractional coordinates:
La (0.2500, 0.2500, 0.2500)
Tm (0.0000, 0.0000, 0.0000)
Hg (0.0000, 0.0000, 0.5000)

=====

A geometry-optimized LaTm2Hg structure, computed with PBE-GGA.

Output
As for the energy above the most stable polymorph in this dataset: 87 meV per atom. The density of states at the Fermi level is 15.32 states/eV/cell.

Lattice parameters (Å, degrees): 3.6363 3.6363 31.8414 90.00 90.00 120.00
Space group R3m (No. 160, hexagonal axes)
Inequivalent atoms, fractional coordinates:
La (0.0000, 0.0000, 0.0000)
Tm (0.0000, 0.0000, 0.5726)
Tm (0.0000, 0.0000, 0.7604)
Hg (0.0000, 0.0000, 0.1662)

=====

A geometry-optimized LaTm2Hg4 structure, computed with PBE-GGA.

Output
The density of states at the Fermi level is 4.92 states/eV/cell.

Lattice parameters (Å, degrees): 5.2378 5.2378 7.2618 90.00 90.00 90.00
Space group P4/mmm (No. 123)
Inequivalent atoms, fractional coordinates:
La (0.0000, 0.0000, 0.0000)
Tm (0.0000, 0.0000, 0.5000)
Tm (0.5000, 0.5000, 0.0000)
Hg (0.0000, 0.5000, 0.2749)

=====

A geometry-optimized La6TmHg5 structure, computed with PBE-GGA.

Output
The density of states at the Fermi level is 15.91 states/eV/cell.

Lattice parameters (Å, degrees): 5.4768 7.9049 8.8563 90.00 107.97 90.00
Space group P2/m (No. 10)
Inequivalent atoms, fractional coordinates:
La (0.0000, 0.2274, 0.0000)
La (0.3274, 0.2536, 0.6540)
Tm (0.5000, 0.5000, 0.0000)
Hg (0.1476, 0.5000, 0.2960)
Hg (0.1664, 0.0000, 0.3354)
Hg (0.5000, 0.0000, 0.0000)

=====

A geometry-optimized La5TmHg4 structure, computed with PBE-GGA.

Output
The density of states at the Fermi level is 13.11 states/eV/cell.

Lattice parameters (Å, degrees): 3.8868 3.8868 20.3811 90.00 90.00 90.00
Space group P4/mmm (No. 123)
Inequivalent atoms, fractional coordinates:
La (0.0000, 0.0000, 0.0000)
La (0.0000, 0.0000, 0.1926)
La (0.0000, 0.0000, 0.3855)
Tm (0.5000, 0.5000, 0.5000)
Hg (0.5000, 0.5000, 0.0958)
Hg (0.5000, 0.5000, 0.2926)

=====

For the records above, the corresponding calculated formation energy values read 0.32; -2.90; -3.72; -2.64; -0.90; -9.81; -1.01; -0.44; -0.54; -2.09; -4.51; -3.80 eV/f.u..
For the records above, the corresponding total magnetic moment values read 0.0; 0.6; 0.4; 0.5; 0.0; 2.9; 0.0; 0.0; 0.0; 0.1; 0.1; 1.3 μB per formula unit.